No. 1
# ScTi2TcSn

A relaxed ScTi2TcSn crystal (PBE-GGA, the Alexandria database).

Summary:
E above lowest polymorph = 322.5 meV/atom
E_form = 1388 meV per atom
Total moment = 0.0 μB per formula unit
Density = 4.792 g/cm³

Cell: 4.912 5.133 4.912 Å, 90.00 90.00 90.00°
Atoms (fractional coordinates):
Sc1 0.000 0.500 0.000
Ti1 0.000 0.000 0.500
Ti2 0.500 0.000 0.000
Sn1 0.000 0.000 0.000
Tc1 0.500 0.500 0.500

---

No. 2
# ScUTcSn

A relaxed ScUTcSn crystal (PBE-GGA, the Alexandria database).

Summary:
E_form = -105 meV per atom
Total moment = 2.0 μB per formula unit
Density = 10.474 g/cm³

Cell: 4.821 4.821 4.821 Å, 60.00 60.00 60.00°
Atoms (fractional coordinates):
Sc1 0.250 0.250 0.250
U1 0.000 0.000 0.000
Sn1 0.500 0.500 0.500
Tc1 0.750 0.750 0.750

---

No. 3
# ScZnTcSn

A relaxed ScZnTcSn crystal (PBE-GGA, the Alexandria database).

Summary:
E_form = -158 meV per atom
Total moment = 0.0 μB per formula unit
Density = 7.747 g/cm³

Cell: 4.628 4.628 4.628 Å, 60.00 60.00 60.00°
Atoms (fractional coordinates):
Sc1 0.500 0.500 0.500
Zn1 0.750 0.750 0.750
Sn1 0.250 0.250 0.250
Tc1 0.000 0.000 0.000

---

No. 4
# Sc3SnTe2

A relaxed Sc3SnTe2 crystal (PBE-GGA, the Alexandria database).

Summary:
Formation energy without anion corrections = -0.749 eV per atom
E above lowest polymorph = 228.3 meV/atom
Total moment = 0.0 μB per formula unit
Density = 4.453 g/cm³

Cell: 5.811 8.621 8.621 Å, 118.56 90.00 90.00°
Atoms (fractional coordinates):
Sc1 0.993 0.832 0.504
Sc2 0.493 0.496 0.168
Sc3 0.993 0.504 0.832
Sc4 0.493 0.168 0.496
Sc5 0.493 0.835 0.835
Sc6 0.993 0.165 0.165
Sn1 0.993 0.838 0.838
Sn2 0.493 0.162 0.162
Te1 0.493 0.830 0.494
Te2 0.993 0.506 0.170
Te3 0.493 0.494 0.830
Te4 0.993 0.170 0.506

---

No. 5
# ScSnTe2

A relaxed ScSnTe2 crystal (PBE-GGA, the Alexandria database).

Summary:
Formation energy without anion corrections = -0.403 eV per atom
Total moment = 0.0 μB per formula unit
Density = 4.367 g/cm³

Cell: 7.203 7.203 7.977 Å, 63.16 63.16 90.00°
Atoms (fractional coordinates):
Sc1 0.500 0.500 0.000
Sc2 0.250 0.750 0.500
Te1 0.587 0.125 0.250
Te2 0.163 0.625 0.250
Te3 0.375 0.413 0.750
Te4 0.875 0.837 0.750
Sn1 0.000 0.000 0.000
Sn2 0.750 0.250 0.500

---

No. 6
# Sc2SnTe6

A relaxed Sc2SnTe6 crystal (PBE-GGA, the Alexandria database).

Summary:
Formation energy without anion corrections = -0.524 eV per atom
Total moment = 0.0 μB per formula unit
Density = 5.278 g/cm³

Cell: 6.906 6.906 12.853 Å, 90.00 90.00 90.00°
Atoms (fractional coordinates):
Sc1 0.500 0.500 0.340
Sc2 0.500 0.500 0.660
Sc3 0.000 0.000 0.160
Sc4 0.000 0.000 0.840
Sn1 0.500 0.500 0.000
Sn2 0.000 0.000 0.500
Te1 0.702 0.702 0.176
Te2 0.702 0.702 0.824
Te3 0.698 0.698 0.500
Te4 0.802 0.198 0.000
Te5 0.798 0.202 0.324
Te6 0.798 0.202 0.676
Te7 0.202 0.798 0.324
Te8 0.202 0.798 0.676
Te9 0.198 0.802 0.000
Te10 0.302 0.302 0.500
Te11 0.298 0.298 0.176
Te12 0.298 0.298 0.824

---

No. 7
# Sc2SnTe4

A relaxed Sc2SnTe4 crystal (PBE-GGA, the Alexandria database).

Summary:
Formation energy without anion corrections = -0.932 eV per atom
Total moment = 0.0 μB per formula unit
Density = 5.229 g/cm³

Cell: 4.221 7.271 8.436 Å, 113.55 104.49 90.00°
Atoms (fractional coordinates):
Sc1 0.258 0.278 0.516
Sc2 0.742 0.722 0.484
Sn1 0.000 0.000 0.000
Te1 0.130 0.469 0.260
Te2 0.870 0.531 0.740
Te3 0.355 0.013 0.710
Te4 0.645 0.987 0.290

---

No. 8
# ScSn2Te4

A relaxed ScSn2Te4 crystal (PBE-GGA, the Alexandria database).

Summary:
Formation energy without anion corrections = -0.488 eV per atom
E above lowest polymorph = 0.0 meV/atom
Total moment = 0.0 μB per formula unit
Density = 5.933 g/cm³

Cell: 4.164 7.585 14.614 Å, 90.00 90.00 105.93°
Atoms (fractional coordinates):
Sc1 0.616 0.232 0.750
Sc2 0.384 0.768 0.250
Sn1 0.135 0.269 0.430
Sn2 0.865 0.731 0.930
Sn3 0.135 0.269 0.070
Sn4 0.865 0.731 0.570
Te1 0.789 0.579 0.130
Te2 0.789 0.579 0.370
Te3 0.211 0.421 0.870
Te4 0.211 0.421 0.630
Te5 0.974 0.948 0.750
Te6 0.026 0.052 0.250
Te7 0.500 0.000 0.000
Te8 0.500 0.000 0.500

---

No. 9
# Sc4SnTe

A relaxed Sc4SnTe crystal (PBE-GGA, the Alexandria database).

Summary:
Formation energy without anion corrections = -0.446 eV per atom
Total moment = 0.0 μB per formula unit
Density = 4.536 g/cm³

Cell: 5.736 7.203 8.297 Å, 103.18 110.24 90.00°
Atoms (fractional coordinates):
Sc1 0.555 0.062 0.864
Sc2 0.691 0.438 0.136
Sc3 0.445 0.938 0.136
Sc4 0.309 0.562 0.864
Sc5 0.980 0.880 0.712
Sc6 0.268 0.619 0.288
Sc7 0.020 0.120 0.288
Sc8 0.732 0.381 0.712
Sn1 0.862 0.750 0.000
Sn2 0.138 0.250 0.000
Te1 0.500 0.000 0.500
Te2 0.000 0.500 0.500

---

No. 10
# Sc5SnTe5

A relaxed Sc5SnTe5 crystal (PBE-GGA, the Alexandria database).

Summary:
Formation energy without anion corrections = -1.103 eV per atom
Total moment = 0.0 μB per formula unit
Density = 5.393 g/cm³

Cell: 5.881 7.183 8.261 Å, 106.68 90.00 114.17°
Atoms (fractional coordinates):
Sc1 0.837 0.673 0.169
Sc2 0.837 0.675 0.669
Sc3 0.500 0.000 0.000
Sc4 0.163 0.325 0.331
Sc5 0.163 0.327 0.831
Sn1 0.000 0.000 0.000
Te1 0.666 0.332 0.336
Te2 0.666 0.333 0.831
Te3 0.000 0.000 0.500
Te4 0.334 0.667 0.169
Te5 0.334 0.668 0.664

---

No. 11
# Sc8SnTe2

A relaxed Sc8SnTe2 crystal (PBE-GGA, the Alexandria database).

Summary:
Formation energy without anion corrections = -0.436 eV per atom
Total moment = 0.0 μB per formula unit
Density = 4.552 g/cm³

Cell: 5.453 7.595 7.595 Å, 116.55 99.35 99.35°
Atoms (fractional coordinates):
Sc1 0.867 0.911 0.686
Sc2 0.867 0.686 0.911
Sc3 0.306 0.593 0.593
Sc4 0.500 0.763 0.237
Sc5 0.500 0.237 0.763
Sc6 0.694 0.407 0.407
Sc7 0.133 0.314 0.089
Sc8 0.133 0.089 0.314
Sn1 0.500 0.000 0.000
Te1 0.000 0.304 0.696
Te2 0.000 0.696 0.304

---

No. 12
# Sc3SnTe6

A relaxed Sc3SnTe6 crystal (PBE-GGA, the Alexandria database).

Summary:
Formation energy without anion corrections = -0.904 eV per atom
Total moment = 0.0 μB per formula unit
Density = 5.569 g/cm³

Cell: 4.154 12.625 12.249 Å, 108.87 90.00 90.00°
Atoms (fractional coordinates):
Sc1 0.750 0.449 0.845
Sc2 0.250 0.551 0.155
Sc3 0.750 0.676 0.493
Sc4 0.250 0.324 0.507
Sc5 0.750 0.148 0.077
Sc6 0.250 0.852 0.923
Sn1 0.750 0.995 0.681
Sn2 0.250 0.005 0.319
Te1 0.750 0.483 0.616
Te2 0.250 0.517 0.384
Te3 0.750 0.922 0.097
Te4 0.250 0.078 0.903
Te5 0.750 0.381 0.054
Te6 0.250 0.619 0.946
Te7 0.750 0.712 0.259
Te8 0.250 0.288 0.741
Te9 0.750 0.139 0.492
Te10 0.250 0.861 0.508
Te11 0.750 0.785 0.749
Te12 0.250 0.215 0.251